Material: NaPr4Tl5
Method: DFT, PBE
State: relaxed

The space group is P4/mmm (No. 123) and the conventional cell measures 3.758, 3.758 and 20.993 Å, with angles of 90.00, 90.00 and 90.00 degrees. The distinct sites, in fractional coordinates, are Na at (0.000, 0.000, 0.000), Pr at (0.000, 0.000, 0.191), Pr at (0.000, 0.000, 0.397), Tl at (0.500, 0.500, 0.091), Tl at (0.500, 0.500, 0.294) and Tl at (0.500, 0.500, 0.500).



Material: NaPr4Tl7
Method: DFT, PBE
State: relaxed

The space group is C2/m (No. 12) and the conventional cell measures 14.079, 5.590 and 11.828 Å, with angles of 90.00, 123.12 and 90.00 degrees. The distinct sites, in fractional coordinates, are Na at (0.000, 0.000, 0.000), Pr at (0.085, 0.500, 0.782), Pr at (0.224, 0.500, 0.332), Tl at (0.000, 0.500, 0.000), Tl at (0.082, 0.000, 0.322), Tl at (0.129, 0.500, 0.539) and Tl at (0.224, 0.000, 0.903).



Material: NaPrTl6
Method: DFT, PBE
State: relaxed

The space group is P4/mmm (No. 123) and the conventional cell measures 6.840, 6.840 and 4.921 Å, with angles of 90.00, 90.00 and 90.00 degrees. The distinct sites, in fractional coordinates, are Na at (0.000, 0.000, 0.000), Pr at (0.500, 0.500, 0.000), Tl at (0.000, 0.500, 0.000) and Tl at (0.249, 0.249, 0.500).



Material: NaPr5Tl6
Method: DFT, PBE
State: relaxed

The space group is Cmmm (No. 65) and the conventional cell measures 5.492, 16.551 and 7.902 Å, with angles of 90.00, 90.00 and 90.00 degrees. The distinct sites, in fractional coordinates, are Na at (0.000, 0.000, 0.000), Pr at (0.000, 0.000, 0.500), Pr at (0.000, 0.332, 0.500), Pr at (0.000, 0.340, 0.000), Tl at (0.000, 0.164, 0.243) and Tl at (0.000, 0.500, 0.248).



no.,magnetization (μB/f.u.),energy relative to the elements (eV/atom),VASP energy (eV per atom)
1,0.0,-0.34,-3.56
2,0.0,-0.16,-3.25
3,0.0,-0.16,-2.70
4,0.0,-0.35,-3.63